{"formula": "NdInAg5", "functional": "PBE", "state": "optimized geometry", "space_group": "Pnma, No. 62", "e_form_ev_per_atom": -0.175, "lattice": [[9.126, 0.000, 0.000], [0.000, 5.661, 0.000], [0.000, 0.000, 11.464]], "species": ["Nd", "Nd", "Nd", "Nd", "In", "In", "In", "In", "Ag", "Ag", "Ag", "Ag", "Ag", "Ag", "Ag", "Ag", "Ag", "Ag", "Ag", "Ag", "Ag", "Ag", "Ag", "Ag", "Ag", "Ag", "Ag", "Ag"], "fractional_positions": [[0.243, 0.250, 0.062], [0.257, 0.750, 0.562], [0.743, 0.250, 0.438], [0.757, 0.750, 0.938], [0.145, 0.750, 0.852], [0.355, 0.250, 0.352], [0.645, 0.750, 0.648], [0.855, 0.250, 0.148], [0.064, 0.750, 0.084], [0.066, 0.006, 0.306], [0.066, 0.494, 0.306], [0.094, 0.250, 0.518], [0.183, 0.250, 0.757], [0.317, 0.750, 0.257], [0.406, 0.750, 0.018], [0.434, 0.506, 0.806], [0.434, 0.994, 0.806], [0.436, 0.250, 0.584], [0.564, 0.750, 0.416], [0.566, 0.006, 0.194], [0.566, 0.494, 0.194], [0.594, 0.250, 0.982], [0.683, 0.250, 0.743], [0.817, 0.750, 0.243], [0.906, 0.750, 0.482], [0.934, 0.506, 0.694], [0.934, 0.994, 0.694], [0.936, 0.250, 0.916]]}